Crystalline TlCuHgC2 at its relaxed geometry, computed with PBEsol.

Unit cell a=4.0426 b=4.0426 c=6.1912 alpha=90.00 beta=90.00 gamma=90.00
Closest atoms and distances in Å follow each position.
Space group P4/mmm (No. 123)
Inequivalent atoms, fractional coordinates:
1 Tl 0.0000 0.0000 0.0000 (multiplicity 1)  4 Cu 2.86, 2 Hg 3.10
2 Cu 0.5000 0.5000 0.0000 (multiplicity 1)  4 Tl 2.86
3 Hg 0.0000 0.0000 0.5000 (multiplicity 1)  4 C 2.02
4 C 0.0000 0.5000 0.5000 (multiplicity 2)  2 Hg 2.02

Results
V: 101.2 Å³/cell
DOS(E_F): 0.522 states/eV per atom
Energy of formation: 2.60 eV per atom